[1]
Material: SrLiZnRh
Method: DFT, PBE
State: optimized geometry

It has space group Cm (No. 8), with a = 7.628 Å, b = 4.403 Å, c = 5.809 Å, α = 90.00°, β = 115.83° and γ = 90.00°. The inequivalent atoms are Sr at (0.000, 0.000, 0.000), Li at (0.309, 0.500, 0.426), Zn at (0.018, 0.500, 0.553) and Rh at (0.202, 0.000, 0.603).

The total magnetization is 0.000 μB per formula unit. The calculation puts the energy above the most stable polymorph in this dataset at 0.0 meV/atom. The mass density comes out at 4.97 g/cm3. The value obtained for the total energy is -3.3727 eV per atom.



[2]
Material: La5PuIr4
Method: DFT, PBE
State: optimized geometry

It has space group C2/m (No. 12), with a = 18.068 Å, b = 4.273 Å, c = 7.902 Å, α = 90.00°, β = 106.10° and γ = 90.00°. The inequivalent atoms are La at (0.000, 0.000, 0.000), La at (0.163, 0.500, 0.846), La at (0.166, 0.500, 0.367), Pu at (0.000, 0.000, 0.500), Ir at (0.000, 0.500, 0.265) and Ir at (0.170, 0.000, 0.621).

The total magnetization is 4.710 μB per formula unit. The mass density comes out at 9.67 g/cm3. The value obtained for the total energy is -8.0224 eV per atom.



[3]
Material: MnNbCoHSe2
Method: DFT, PBE
State: optimized geometry

It has space group Imm2 (No. 44), with a = 3.487 Å, b = 3.644 Å, c = 13.028 Å, α = 90.00°, β = 90.00° and γ = 90.00°. The inequivalent atoms are Mn at (0.000, 0.000, 0.000), Nb at (0.000, 0.000, 0.361), Co at (0.000, 0.500, 0.680), H at (0.000, 0.000, 0.186), Se at (0.000, 0.000, 0.557) and Se at (0.000, 0.000, 0.800).

The total magnetization is 3.668 μB per formula unit. The calculation puts the energy above the most stable polymorph in this dataset at 116.6 meV/atom. The mass density comes out at 7.34 g/cm3. The value obtained for the total energy is -6.3031 eV per atom.



[4]
Material: Na3PbSe
Method: DFT, PBE
State: optimized geometry

It has space group Pm-3m (No. 221), with a = 5.495 Å, b = 5.495 Å, c = 5.495 Å, α = 90.00°, β = 90.00° and γ = 90.00°. The inequivalent atoms are Na at (0.000, 0.000, 0.500), Pb at (0.500, 0.500, 0.500) and Se at (0.000, 0.000, 0.000).

The uncorrected formation energy is -351 meV per atom. The total magnetization is 0.000 μB per formula unit. The calculation puts the energy above the most stable polymorph in this dataset at 0.0 meV/atom. The mass density comes out at 3.55 g/cm3. The value obtained for the total energy is -2.5805 eV per atom.